Entry 1:
Density functional theory data (GGA-PBE) for an optimized crystal structure of CaErSc2.

Structure (CIF):
```
data_CaErSc2
_chemical_formula_sum 'Ca3 Er3 Sc6'
_cell_length_a 3.4421
_cell_length_b 3.4421
_cell_length_c 34.3375
_cell_angle_alpha 90.00
_cell_angle_beta 90.00
_cell_angle_gamma 120.00
_symmetry_space_group_name_H-M 'R -3 m'
_symmetry_Int_Tables_number 166
_symmetry_space_group_name_Hall '-R 3 2"'
loop_
_atom_site_label
_atom_site_type_symbol
_atom_site_fract_x
_atom_site_fract_y
_atom_site_fract_z
Ca1 Ca 0.0000 0.0000 0.0000
Er1 Er 0.0000 0.0000 0.5000
Sc1 Sc 0.0000 0.0000 0.2449
```

Values from the calculation:
- magnetic moment (μB/atom) = 0.000
- energy above the most stable polymorph in this dataset (meV/atom) = 12.9
- ΔE_f (eV/atom) = 0.152
- Fermi-level density of states (states/eV/f.u.) = 7.85
- calculated total energy (eV/cell) = -55.9

***

Entry 2:
Density functional theory data (GGA-PBE) for an optimized crystal structure of KU3Tl4O12.

Structure (CIF):
```
data_KU3Tl4O12
_chemical_formula_sum 'K2 U6 Tl8 O24'
_cell_length_a 8.911
_cell_length_b 8.911
_cell_length_c 8.911
_cell_angle_alpha 90.00
_cell_angle_beta 90.00
_cell_angle_gamma 90.00
_symmetry_space_group_name_H-M 'I m -3 m'
_symmetry_Int_Tables_number 229
_symmetry_space_group_name_Hall '-I 4 2 3'
loop_
_atom_site_label
_atom_site_type_symbol
_atom_site_fract_x
_atom_site_fract_y
_atom_site_fract_z
K1 K 0.000 0.000 0.000
U1 U 0.000 0.000 0.500
Tl1 Tl 0.250 0.250 0.250
O1 O 0.000 0.000 0.287
O2 O 0.000 0.250 0.500
```

Values from the calculation:
- magnetic moment (μB/atom) = 0.000
- Fermi-level density of states (states/eV/f.u.) = 15.35
- E_form (uncorrected) (kJ/mol of formula units) = -4303
- calculated total energy (eV/cell) = -297.1

***

Entry 3:
Density functional theory data (GGA-PBE) for an optimized crystal structure of ErFe3Ge3.

Structure (CIF):
```
data_ErFe3Ge3
_chemical_formula_sum 'Er2 Fe6 Ge6'
_cell_length_a 8.1121
_cell_length_b 8.1121
_cell_length_c 4.0424
_cell_angle_alpha 90.00
_cell_angle_beta 90.00
_cell_angle_gamma 120.00
_symmetry_space_group_name_H-M 'P 63/m'
_symmetry_Int_Tables_number 176
_symmetry_space_group_name_Hall '-P 6c'
loop_
_atom_site_label
_atom_site_type_symbol
_atom_site_fract_x
_atom_site_fract_y
_atom_site_fract_z
Er1 Er 0.3333 0.6667 0.2500
Fe1 Fe 0.0576 0.2015 0.2500
Ge1 Ge 0.0961 0.3867 0.7500
```

Values from the calculation:
- magnetic moment (μB/atom) = 0.474
- energy above the most stable polymorph in this dataset (meV/atom) = 0.0
- ΔE_f (eV/atom) = -0.247
- Fermi-level density of states (states/eV/f.u.) = 4.75
- calculated total energy (eV/cell) = -91.1

***

Entry 4:
Density functional theory data (GGA-PBE) for an optimized crystal structure of SrMgBr2O.

Structure (CIF):
```
data_SrMgBr2O
_chemical_formula_sum 'Sr1 Mg1 Br2 O1'
_cell_length_a 4.720
_cell_length_b 4.720
_cell_length_c 11.802
_cell_angle_alpha 90.00
_cell_angle_beta 90.00
_cell_angle_gamma 90.00
_symmetry_space_group_name_H-M 'P 4/m m m'
_symmetry_Int_Tables_number 123
_symmetry_space_group_name_Hall '-P 4 2'
loop_
_atom_site_label
_atom_site_type_symbol
_atom_site_fract_x
_atom_site_fract_y
_atom_site_fract_z
Sr1 Sr 0.000 0.000 0.000
Mg1 Mg 0.000 0.000 0.500
Br1 Br 0.000 0.500 0.500
O1 O 0.500 0.500 0.000
```

Values from the calculation:
- magnetic moment (μB/atom) = 0.000
- Fermi-level density of states (states/eV/f.u.) = 0.00
- E_form (uncorrected) (kJ/mol of formula units) = -345
- calculated total energy (eV/cell) = -15.2

***

Entry 5:
Density functional theory data (GGA-PBE) for an optimized crystal structure of CuMo4Se.

Structure (CIF):
```
data_CuMo4Se
_chemical_formula_sum 'Cu4 Mo16 Se4'
_cell_length_a 7.431
_cell_length_b 7.431
_cell_length_c 7.431
_cell_angle_alpha 90.00
_cell_angle_beta 90.00
_cell_angle_gamma 90.00
_symmetry_space_group_name_H-M 'F -4 3 m'
_symmetry_Int_Tables_number 216
_symmetry_space_group_name_Hall 'F -4 2 3'
loop_
_atom_site_label
_atom_site_type_symbol
_atom_site_fract_x
_atom_site_fract_y
_atom_site_fract_z
Cu1 Cu 0.000 0.000 0.000
Mo1 Mo 0.127 0.127 0.627
Se1 Se 0.250 0.250 0.250
```

Values from the calculation:
- magnetic moment (μB/atom) = 0.000
- Fermi-level density of states (states/eV/f.u.) = 7.53
- E_form (uncorrected) (kJ/mol of formula units) = 417
- calculated total energy (eV/cell) = -186.3

***

Entry 6:
Density functional theory data (GGA-PBE) for an optimized crystal structure of SrSeF2.

Structure (CIF):
```
data_SrSeF2
_chemical_formula_sum 'Sr4 Se4 F8'
_cell_length_a 6.569
_cell_length_b 6.569
_cell_length_c 11.566
_cell_angle_alpha 90.00
_cell_angle_beta 90.00
_cell_angle_gamma 90.00
_symmetry_space_group_name_H-M 'I -4 2 d'
_symmetry_Int_Tables_number 122
_symmetry_space_group_name_Hall 'I -4 2bw'
loop_
_atom_site_label
_atom_site_type_symbol
_atom_site_fract_x
_atom_site_fract_y
_atom_site_fract_z
Sr1 Sr 0.000 0.000 0.000
Se1 Se 0.000 0.000 0.500
F1 F 0.109 0.250 0.125
```

Values from the calculation:
- magnetic moment (μB/atom) = 0.500
- energy above the most stable polymorph in this dataset (meV/atom) = 189.7
- Fermi-level density of states (states/eV/f.u.) = 1.17
- E_form (uncorrected) (kJ/mol of formula units) = -825
- calculated total energy (eV/cell) = -69.8

***

Entry 7:
Density functional theory data (GGA-PBE) for an optimized crystal structure of Ba2LaTa.

Structure (CIF):
```
data_Ba2LaTa
_chemical_formula_sum 'Ba2 La1 Ta1'
_cell_length_a 4.012
_cell_length_b 4.026
_cell_length_c 9.927
_cell_angle_alpha 90.00
_cell_angle_beta 90.06
_cell_angle_gamma 90.00
_symmetry_space_group_name_H-M 'P 1 m 1'
_symmetry_Int_Tables_number 6
_symmetry_space_group_name_Hall 'P -2y'
loop_
_atom_site_label
_atom_site_type_symbol
_atom_site_fract_x
_atom_site_fract_y
_atom_site_fract_z
Ba1 Ba 0.000 0.000 0.000
Ba2 Ba 0.498 0.500 0.365
La1 La 0.000 0.000 0.643
Ta1 Ta 0.500 0.500 0.766
```

Values from the calculation:
- magnetic moment (μB/atom) = 0.000
- energy above the most stable polymorph in this dataset (meV/atom) = 0.0
- ΔE_f (eV/atom) = 0.607
- Fermi-level density of states (states/eV/f.u.) = 5.65
- calculated total energy (eV/cell) = -18.2

***

Entry 8:
Density functional theory data (GGA-PBE) for an optimized crystal structure of SiSb2RhBr.

Structure (CIF):
```
data_SiSb2RhBr
_chemical_formula_sum 'Si1 Sb2 Rh1 Br1'
_cell_length_a 5.179
_cell_length_b 5.179
_cell_length_c 4.753
_cell_angle_alpha 90.00
_cell_angle_beta 90.00
_cell_angle_gamma 90.00
_symmetry_space_group_name_H-M 'P 4/m m m'
_symmetry_Int_Tables_number 123
_symmetry_space_group_name_Hall '-P 4 2'
loop_
_atom_site_label
_atom_site_type_symbol
_atom_site_fract_x
_atom_site_fract_y
_atom_site_fract_z
Si1 Si 0.000 0.000 0.000
Sb1 Sb 0.000 0.500 0.000
Rh1 Rh 0.500 0.500 0.500
Br1 Br 0.000 0.000 0.500
```

Values from the calculation:
- magnetic moment (μB/atom) = 0.000
- Fermi-level density of states (states/eV/f.u.) = 3.00
- E_form (uncorrected) (kJ/mol of formula units) = 432
- calculated total energy (eV/cell) = -18.2

***

Entry 9:
Density functional theory data (GGA-PBE) for an optimized crystal structure of LaZn2Cd9.

Structure (CIF):
```
data_LaZn2Cd9
_chemical_formula_sum 'La4 Zn8 Cd36'
_cell_length_a 11.775
_cell_length_b 11.775
_cell_length_c 7.615
_cell_angle_alpha 90.00
_cell_angle_beta 90.00
_cell_angle_gamma 90.00
_symmetry_space_group_name_H-M 'I 41/a m d'
_symmetry_Int_Tables_number 141
loop_
_symmetry_equiv_pos_as_xyz
'x,y,z'
'-x,-y,-z'
'-y+1/4,x+3/4,z+1/4'
'y+1/4,-x+3/4,-z+1/4'
'-x+1/2,-y,z+1/2'
'x+1/2,y,-z+1/2'
'y+1/4,-x+1/4,z+3/4'
'-y+1/4,x+1/4,-z+3/4'
'x,-y,-z'
'-x,y,z'
'-y+1/4,-x+1/4,-z+3/4'
'y+1/4,x+1/4,z+3/4'
'-x+1/2,y,-z+1/2'
'x+1/2,-y,z+1/2'
'y+1/4,x+3/4,-z+1/4'
'-y+1/4,-x+3/4,z+1/4'
'x+1/2,y+1/2,z+1/2'
'-x+1/2,-y+1/2,-z+1/2'
'-y+3/4,x+1/4,z+3/4'
'y+3/4,-x+1/4,-z+3/4'
'-x,-y+1/2,z'
'x,y+1/2,-z'
'y+3/4,-x+3/4,z+1/4'
'-y+3/4,x+3/4,-z+1/4'
'x+1/2,-y+1/2,-z+1/2'
'-x+1/2,y+1/2,z+1/2'
'-y+3/4,-x+3/4,-z+1/4'
'y+3/4,x+3/4,z+1/4'
'-x,y+1/2,-z'
'x,-y+1/2,z'
'y+3/4,x+1/4,-z+3/4'
'-y+3/4,-x+1/4,z+3/4'
loop_
_atom_site_label
_atom_site_type_symbol
_atom_site_fract_x
_atom_site_fract_y
_atom_site_fract_z
La1 La 0.000 0.250 0.375
Zn1 Zn 0.000 0.000 0.000
Cd1 Cd 0.000 0.250 0.875
Cd2 Cd 0.121 0.052 0.676
```

Values from the calculation:
- magnetic moment (μB/atom) = 0.000
- ΔE_f (eV/atom) = -0.132
- Fermi-level density of states (states/eV/f.u.) = 4.55
- calculated total energy (eV/cell) = -69.2

***

Entry 10:
Density functional theory data (GGA-PBE) for an optimized crystal structure of LaCeCdGa.

Structure (CIF):
```
data_LaCeCdGa
_chemical_formula_sum 'La4 Ce4 Cd4 Ga4'
_cell_length_a 7.602
_cell_length_b 7.602
_cell_length_c 7.602
_cell_angle_alpha 90.00
_cell_angle_beta 90.00
_cell_angle_gamma 90.00
_symmetry_space_group_name_H-M 'F -4 3 m'
_symmetry_Int_Tables_number 216
_symmetry_space_group_name_Hall 'F -4 2 3'
loop_
_atom_site_label
_atom_site_type_symbol
_atom_site_fract_x
_atom_site_fract_y
_atom_site_fract_z
La1 La 0.000 0.000 0.000
Ce1 Ce 0.000 0.000 0.500
Cd1 Cd 0.250 0.250 0.750
Ga1 Ga 0.250 0.250 0.250
```

Values from the calculation:
- magnetic moment (μB/atom) = 0.289
- ΔE_f (eV/atom) = -0.339
- Fermi-level density of states (states/eV/f.u.) = 10.62
- calculated total energy (eV/cell) = -64.6

***

Entry 11:
Density functional theory data (GGA-PBE) for an optimized crystal structure of AcCN4.

Structure (CIF):
```
data_AcCN4
_chemical_formula_sum 'Ac1 C1 N4'
_cell_length_a 4.092
_cell_length_b 5.715
_cell_length_c 6.434
_cell_angle_alpha 95.84
_cell_angle_beta 90.14
_cell_angle_gamma 90.04
_symmetry_space_group_name_H-M 'P -1'
_symmetry_Int_Tables_number 2
_symmetry_space_group_name_Hall '-P 1'
loop_
_atom_site_label
_atom_site_type_symbol
_atom_site_fract_x
_atom_site_fract_y
_atom_site_fract_z
Ac1 Ac 0.000 0.000 0.000
C1 C 0.500 0.500 0.000
N1 N 0.000 0.003 0.410
N2 N 0.500 0.285 0.008
```

Values from the calculation:
- magnetic moment (μB/atom) = 0.137
- energy above the most stable polymorph in this dataset (meV/atom) = 0.0
- Fermi-level density of states (states/eV/f.u.) = 3.04
- E_form (uncorrected) (kJ/mol of formula units) = -269
- calculated total energy (eV/cell) = -49.4

***

Entry 12:
Density functional theory data (GGA-PBE) for an optimized crystal structure of LaHgTe2.

Structure (CIF):
```
data_LaHgTe2
_chemical_formula_sum 'La2 Hg2 Te4'
_cell_length_a 7.498
_cell_length_b 7.486
_cell_length_c 4.156
_cell_angle_alpha 90.00
_cell_angle_beta 90.26
_cell_angle_gamma 90.00
_symmetry_space_group_name_H-M 'C 1 2/m 1'
_symmetry_Int_Tables_number 12
_symmetry_space_group_name_Hall '-C 2y'
loop_
_atom_site_label
_atom_site_type_symbol
_atom_site_fract_x
_atom_site_fract_y
_atom_site_fract_z
La1 La 0.000 0.000 0.000
Hg1 Hg 0.000 0.500 0.000
Te1 Te 0.250 0.250 0.500
```

Values from the calculation:
- magnetic moment (μB/atom) = 0.000
- Fermi-level density of states (states/eV/f.u.) = 2.11
- E_form (uncorrected) (kJ/mol of formula units) = -335
- calculated total energy (eV/cell) = -30.0